An optimized crystal structure of Mg6NiBi. Source: Alexandria via LeMat-Bulk, functional GGA-PBE.

Output
energy relative to the elements	0.000	eV per atom
ΔE to the lowest computed polymorph	0	meV/atom
SG	Amm2, No. 38
Fermi-level density of states	4.71	states/eV/cell

Lattice parameters (Å, degrees): 6.6525 6.6525 4.7823 90.00 90.00 124.06
With the nearest neighbours (Å) after each atom.
Element x y z (fractional)
Mg: 0.6926 0.8280 0.0000  1 Ni 2.62
Mg: 0.3279 0.1405 0.5000  2 Ni 2.81, 5 Mg 2.92-3.05, 1 Bi 3.13
Mg: 0.6724 0.3276 0.0000  8 Mg 3.04-3.26, 2 Ni 3.19
Mg: 0.1720 0.3074 0.0000  1 Ni 2.62
Mg: 0.8314 0.1686 0.5000  8 Mg 3.04-3.25, 2 Bi 3.12
Mg: 0.8595 0.6721 0.5000  2 Ni 2.81, 5 Mg 2.92-3.05, 1 Bi 3.13
Bi: 0.3289 0.6711 0.5000  8 Mg 3.12-3.14, 2 Ni 3.47
Ni: 0.1152 0.8848 0.0000  6 Mg 2.62-2.81

An optimized crystal structure of Mg2NiBi. Source: Alexandria via LeMat-Bulk, functional GGA-PBE.

Output
energy relative to the elements	-0.089	eV per atom
SG	P4/mmm, No. 123
Fermi-level density of states	2.54	states/eV/cell

Lattice parameters (Å, degrees): 3.2242 3.2242 7.9345 90.00 90.00 90.00
With the nearest neighbours (Å) after each atom.
Element x y z (fractional)
Mg: 0.0000 0.0000 0.8180  4 Ni 2.70, 1 Mg 2.89
Mg: 0.0000 0.0000 0.1820  4 Ni 2.70, 1 Mg 2.89
Bi: 0.5000 0.5000 0.5000  4 Bi 3.22, 8 Mg 3.40
Ni: 0.5000 0.5000 0.0000  8 Mg 2.70

An optimized crystal structure of Mg4NiBi2. Source: Alexandria via LeMat-Bulk, functional GGA-PBE.

Output
energy relative to the elements	-0.153	eV per atom
SG	I4/mcm, No. 140
Fermi-level density of states	6.97	states/eV/cell

Lattice parameters (Å, degrees): 5.1261 8.2791 8.2791 84.50 71.97 71.97
With the nearest neighbours (Å) after each atom.
Element x y z (fractional)
Mg: 0.4141 0.2776 0.8941  2 Ni 2.67
Mg: 0.5859 0.7224 0.1059  2 Ni 2.67
Mg: 0.6918 0.8941 0.7224  2 Ni 2.67
Mg: 0.9141 0.8941 0.2776  2 Ni 2.67
Mg: 0.8082 0.2776 0.1059  2 Ni 2.67
Mg: 0.0859 0.1059 0.7224  2 Ni 2.67
Mg: 0.1918 0.7224 0.8941  2 Ni 2.67
Mg: 0.3082 0.1059 0.2776  2 Ni 2.67
Bi: 0.8727 0.5000 0.7545  8 Mg 3.11-3.29
Bi: 0.6273 0.2455 0.5000  8 Mg 3.11-3.29
Bi: 0.1273 0.5000 0.2455  8 Mg 3.11-3.29
Bi: 0.3727 0.7545 0.5000  8 Mg 3.11-3.29
Ni: 0.7500 0.0000 0.0000  2 Ni 2.56, 8 Mg 2.67
Ni: 0.2500 0.0000 0.0000  2 Ni 2.56, 8 Mg 2.67

An optimized crystal structure of MgNi3Bi. Source: Alexandria via LeMat-Bulk, functional GGA-PBE.

Output
energy relative to the elements	0.802	eV per atom
ΔE to the lowest computed polymorph	0	meV/atom
SG	Pm-3m, No. 221
Fermi-level density of states	3.47	states/eV/cell

Lattice parameters (Å, degrees): 4.4550 4.4550 4.4550 90.00 90.00 90.00
With the nearest neighbours (Å) after each atom.
Element x y z (fractional)
Ni: 0.0000 0.0000 0.5000  2 Mg 2.23
Ni: 0.5000 0.0000 0.0000  2 Mg 2.23
Ni: 0.0000 0.5000 0.0000  2 Mg 2.23
Mg: 0.0000 0.0000 0.0000  6 Ni 2.23
Bi: 0.5000 0.5000 0.5000  12 Ni 3.15

An optimized crystal structure of Mg6NiBi. Source: Alexandria via LeMat-Bulk, functional GGA-PBE.

Output
energy relative to the elements	0.011	eV per atom
ΔE to the lowest computed polymorph	12	meV/atom
SG	Amm2, No. 38
Fermi-level density of states	2.92	states/eV/cell

Lattice parameters (Å, degrees): 6.2946 6.2946 4.8697 90.00 90.00 117.71
With the nearest neighbours (Å) after each atom.
Element x y z (fractional)
Mg: 0.6535 0.8362 0.5000  2 Ni 2.97-3.32, 8 Mg 3.04-3.32, 2 Bi 3.14-3.16
Mg: 0.3279 0.6721 0.0000  2 Ni 2.94, 8 Mg 2.96-3.26
Mg: 0.8404 0.1596 0.0000  10 Mg 3.04-3.26, 2 Bi 3.10
Mg: 0.1638 0.3465 0.5000  2 Ni 2.97-3.32, 8 Mg 3.04-3.32, 2 Bi 3.14-3.16
Mg: 0.8660 0.6888 0.0000  5 Mg 2.90-3.12, 2 Ni 2.98, 2 Bi 3.13
Mg: 0.3112 0.1340 0.0000  5 Mg 2.90-3.12, 2 Ni 2.98, 2 Bi 3.13
Ni: 0.1755 0.8245 0.5000  8 Mg 2.94-2.98, 2 Bi 3.26
Bi: 0.6617 0.3383 0.5000  10 Mg 3.10-3.16, 2 Ni 3.26

An optimized crystal structure of Mg2NiBi. Source: Alexandria via LeMat-Bulk, functional GGA-PBE.

Output
energy relative to the elements	-0.005	eV per atom
SG	P4/mmm, No. 123
Fermi-level density of states	1.51	states/eV/cell

Lattice parameters (Å, degrees): 4.2483 4.3147 4.3147 90.00 90.00 90.00
With the nearest neighbours (Å) after each atom.
Element x y z (fractional)
Mg: 0.0000 0.5000 0.0000  4 Bi 3.03, 4 Ni 3.03, 4 Mg 3.05
Mg: 0.0000 0.0000 0.5000  4 Bi 3.03, 4 Ni 3.03, 4 Mg 3.05
Ni: 0.5000 0.5000 0.5000  8 Mg 3.03, 4 Bi 3.05
Bi: 0.5000 0.0000 0.0000  8 Mg 3.03, 4 Ni 3.05

An optimized crystal structure of Mg2Ni4Bi. Source: Alexandria via LeMat-Bulk, functional GGA-PBE.

Output
energy relative to the elements	0.775	eV per atom
SG	I4/mmm, No. 139
Fermi-level density of states	7.54	states/eV/cell

Lattice parameters (Å, degrees): 4.6889 4.6889 7.4044 71.54 71.54 90.00
With the nearest neighbours (Å) after each atom.
Element x y z (fractional)
Mg: 0.3815 0.3815 0.2370  5 Ni 2.52-2.82
Mg: 0.6185 0.6185 0.7630  5 Ni 2.52-2.82
Ni: 0.1911 0.1911 0.6179  1 Mg 2.52, 1 Bi 2.53
Ni: 0.8089 0.8089 0.3821  1 Mg 2.52, 1 Bi 2.53
Ni: 0.5000 0.0000 0.0000  2 Bi 2.34
Ni: 0.0000 0.5000 0.0000  2 Bi 2.34
Bi: 0.0000 0.0000 0.0000  6 Ni 2.34-2.53

An optimized crystal structure of MgNi2Bi. Source: Alexandria via LeMat-Bulk, functional GGA-PBE.

Output
energy relative to the elements	0.023	eV per atom
SG	P4/mmm, No. 123
Fermi-level density of states	3.76	states/eV/cell

Lattice parameters (Å, degrees): 3.5242 4.3061 4.3061 90.00 90.00 90.00
With the nearest neighbours (Å) after each atom.
Element x y z (fractional)
Bi: 0.5000 0.0000 0.0000  8 Ni 2.78, 4 Mg 3.04
Mg: 0.5000 0.5000 0.5000  8 Ni 2.78, 4 Bi 3.04
Ni: 0.0000 0.5000 0.0000  4 Bi 2.78, 4 Mg 2.78, 4 Ni 3.04
Ni: 0.0000 0.0000 0.5000  4 Bi 2.78, 4 Mg 2.78, 4 Ni 3.04

An optimized crystal structure of Mg2NiBi. Source: Alexandria via LeMat-Bulk, functional GGA-PBE.

Output
energy relative to the elements	0.209	eV per atom
SG	I-42d, No. 122
Fermi-level density of states	5.00	states/eV/cell

Lattice parameters (Å, degrees): 4.2213 4.2213 10.2014 78.06 78.06 90.00
With the nearest neighbours (Å) after each atom.
Element x y z (fractional)
Mg: 0.8750 0.8446 0.7500  2 Mg 2.81, 2 Ni 2.81, 2 Bi 2.91
Mg: 0.1554 0.6250 0.2500  2 Mg 2.81, 2 Ni 2.81, 2 Bi 2.91
Mg: 0.3750 0.4054 0.7500  2 Mg 2.81, 2 Ni 2.81, 2 Bi 2.91
Mg: 0.5946 0.1250 0.2500  2 Mg 2.81, 2 Ni 2.81, 2 Bi 2.91
Bi: 0.7500 0.2500 0.5000  4 Mg 2.91, 4 Ni 2.98
Bi: 0.0000 0.0000 0.0000  4 Mg 2.91, 4 Ni 2.98
Ni: 0.5000 0.5000 0.0000  4 Mg 2.81, 4 Bi 2.98
Ni: 0.2500 0.7500 0.5000  4 Mg 2.81, 4 Bi 2.98

An optimized crystal structure of MgNi4Bi. Source: Alexandria via LeMat-Bulk, functional GGA-PBE.

Output
energy relative to the elements	-0.036	eV per atom
SG	F-43m, No. 216
Fermi-level density of states	5.32	states/eV/cell

Lattice parameters (Å, degrees): 4.9547 4.9547 4.9547 60.00 60.00 60.00
With the nearest neighbours (Å) after each atom.
Element x y z (fractional)
Bi: 0.2500 0.2500 0.2500  12 Ni 2.91, 4 Mg 3.03
Ni: 0.1225 0.6258 0.6258  6 Ni 2.46-2.49
Ni: 0.6258 0.1225 0.6258  6 Ni 2.46-2.49
Ni: 0.6258 0.6258 0.1225  6 Ni 2.46-2.49
Ni: 0.6258 0.6258 0.6258  6 Ni 2.46-2.49
Mg: 0.0000 0.0000 0.0000  12 Ni 2.90, 4 Bi 3.03

For each record above, in turn, the calculated spin magnetization values are 0.00; 0.00; 0.00; 0.00; 0.00; 0.00; 0.00; 0.00; 0.00; 0.00 μB/f.u..